Record 1
## Be4Pt3F2 (PBE)

Data for Be4Pt3F2 after structural relaxation.

Cell: 5.8338 2.6762 7.5199 Å, 90.00 107.74 90.00°
With the nearest neighbours (Å) after each atom.
Fractional coordinates of all 9 atoms:
Be: 0.8406 0.0000 0.0620  2 F 1.60
Be: 0.3371 0.0000 0.2946  1 Be 2.11, 4 Pt 2.31-2.34
Be: 0.7044 0.0000 0.3110  3 Be 2.11-2.32, 4 Pt 2.30-2.35
Be: 0.9698 0.0000 0.6116  1 F 1.44
F: 0.1633 0.0000 0.7838  1 Be 1.44
F: 0.8633 0.5000 0.9526  2 Be 1.60
Pt: 0.4564 0.5000 0.0832  4 Be 2.30-2.34
Pt: 0.0536 0.5000 0.3647  6 Be 2.31-2.46
Pt: 0.6115 0.5000 0.5364  6 Be 2.35-2.43

## Properties
The value obtained for the total moment is 0.0 μB per cell. Its electronic total energy is -5.189 eV/atom. The calculation puts the calculated volume at 111.8 Å³ per cell.

=====

Record 2
## Be2Fe3 (PBE)

Data for Be2Fe3 after structural relaxation.

Cell: 4.7479 4.7479 5.8319 Å, 114.02 65.98 120.00°
With the nearest neighbours (Å) after each atom.
Fractional coordinates of all 10 atoms:
Be: 0.3097 0.6903 0.0708  1 Be 1.84
Be: 0.1903 0.8097 0.4292  1 Be 1.84
Be: 0.8097 0.1903 0.5708  1 Be 1.84
Be: 0.6903 0.3097 0.9292  1 Be 1.84
Fe: 0.2500 0.2465 0.2500  2 Be 2.15, 4 Fe 2.37
Fe: 0.7465 0.7500 0.2500  2 Be 2.15, 4 Fe 2.37
Fe: 0.7535 0.2535 0.2500  2 Be 2.15, 4 Fe 2.37
Fe: 0.2465 0.7465 0.7500  2 Be 2.15, 4 Fe 2.37
Fe: 0.2535 0.2500 0.7500  2 Be 2.15, 4 Fe 2.37
Fe: 0.7500 0.7535 0.7500  2 Be 2.15, 4 Fe 2.37

## Properties
The value obtained for the total moment is 11.9 μB per cell. Its electronic total energy is -6.267 eV/atom. The calculation puts the calculated volume at 100.5 Å³ per cell.